No. 1
Crystalline SmPaIrPd at its relaxed geometry. Source: Alexandria via LeMat-Bulk, functional GGA-PBE.

Cell and atoms, written as CIF:
```
data_SmPaIrPd
_space_group_name_H-M_alt 'F -4 3 m'
_space_group_IT_number 216
_space_group_name_Hall 'F -4 2 3'
_cell_length_a 7.014
_cell_length_b 7.014
_cell_length_c 7.014
_cell_angle_alpha 90.00
_cell_angle_beta 90.00
_cell_angle_gamma 90.00
loop_
_atom_site_label
_atom_site_type_symbol
_atom_site_fract_x
_atom_site_fract_y
_atom_site_fract_z
Sm1 Sm 0.000 0.000 0.000
Pa1 Pa 0.000 0.000 0.500
Ir1 Ir 0.250 0.250 0.750
Pd1 Pd 0.250 0.250 0.250
```

Calculated values
As for the uncorrected energy: -7.65 eV/atom.

---

No. 2
Crystalline SmPaIrPd at its relaxed geometry. Source: Alexandria via LeMat-Bulk, functional GGA-PBE.

Cell and atoms, written as CIF:
```
data_SmPaIrPd
_space_group_name_H-M_alt 'A m m 2'
_space_group_IT_number 38
_space_group_name_Hall 'A 2 -2'
_cell_length_a 4.088
_cell_length_b 3.792
_cell_length_c 11.865
_cell_angle_alpha 90.00
_cell_angle_beta 90.00
_cell_angle_gamma 90.00
loop_
_atom_site_label
_atom_site_type_symbol
_atom_site_fract_x
_atom_site_fract_y
_atom_site_fract_z
Sm1 Sm 0.000 0.000 0.000
Pa1 Pa 0.500 0.000 0.727
Ir1 Ir 0.000 0.000 0.250
Pd1 Pd 0.500 0.000 0.429
```

Calculated values
As for the uncorrected energy: -7.88 eV/atom.

---

No. 3
Crystalline TbPaIrPd at its relaxed geometry. Source: Alexandria via LeMat-Bulk, functional GGA-PBE.

Cell and atoms, written as CIF:
```
data_TbPaIrPd
_space_group_name_H-M_alt 'A m m 2'
_space_group_IT_number 38
_space_group_name_Hall 'A 2 -2'
_cell_length_a 4.108
_cell_length_b 3.759
_cell_length_c 11.559
_cell_angle_alpha 90.00
_cell_angle_beta 90.00
_cell_angle_gamma 90.00
loop_
_atom_site_label
_atom_site_type_symbol
_atom_site_fract_x
_atom_site_fract_y
_atom_site_fract_z
Tb1 Tb 0.000 0.000 0.000
Pa1 Pa 0.500 0.000 0.726
Ir1 Ir 0.000 0.000 0.252
Pd1 Pd 0.500 0.000 0.437
```

Calculated values
As for the uncorrected energy: -7.91 eV/atom.

---

No. 4
Crystalline TbPaIrPd at its relaxed geometry. Source: Alexandria via LeMat-Bulk, functional GGA-PBE.

Cell and atoms, written as CIF:
```
data_TbPaIrPd
_space_group_name_H-M_alt 'F -4 3 m'
_space_group_IT_number 216
_space_group_name_Hall 'F -4 2 3'
_cell_length_a 6.970
_cell_length_b 6.970
_cell_length_c 6.970
_cell_angle_alpha 90.00
_cell_angle_beta 90.00
_cell_angle_gamma 90.00
loop_
_atom_site_label
_atom_site_type_symbol
_atom_site_fract_x
_atom_site_fract_y
_atom_site_fract_z
Tb1 Tb 0.000 0.000 0.000
Pa1 Pa 0.000 0.000 0.500
Ir1 Ir 0.250 0.250 0.250
Pd1 Pd 0.250 0.250 0.750
```

Calculated values
As for the uncorrected energy: -7.69 eV/atom.

---

Record-wise M_tot values, in μB/atom: 0.039 0.000 0.000 0.000
Record-wise energy above the most stable polymorph in this dataset values, in eV per atom: 0.231 0.000 0.000 0.220